Record 1
## Tm3Ga12Ag (PBE-GGA)

Data for crystalline Tm3Ga12Ag at its relaxed geometry.

Lattice parameters (Å, degrees): 4.243 4.243 16.763 90.00 90.00 90.00
Fractional positions:
Tm (0.000, 0.000, 0.246)
Tm (0.000, 0.000, 0.500)
Tm (0.000, 0.000, 0.754)
Ga (0.500, 0.500, 0.000)
Ga (0.500, 0.500, 0.254)
Ga (0.500, 0.500, 0.500)
Ga (0.500, 0.500, 0.746)
Ga (0.500, 0.000, 0.116)
Ga (0.500, 0.000, 0.373)
Ga (0.500, 0.000, 0.627)
Ga (0.500, 0.000, 0.884)
Ga (0.000, 0.500, 0.116)
Ga (0.000, 0.500, 0.373)
Ga (0.000, 0.500, 0.627)
Ga (0.000, 0.500, 0.884)
Ag (0.000, 0.000, 0.000)


Record 2
## Tm2GaAg (PBE-GGA)

Data for crystalline Tm2GaAg at its relaxed geometry.

Lattice parameters (Å, degrees): 3.557 3.557 9.121 78.76 78.76 60.00
Fractional positions:
Tm (0.747, 0.747, 0.759)
Tm (0.253, 0.253, 0.241)
Ga (0.000, 0.000, 0.000)
Ag (0.500, 0.500, 0.500)


Record 3
## TmGa4Ag2 (PBE-GGA)

Data for crystalline TmGa4Ag2 at its relaxed geometry.

Lattice parameters (Å, degrees): 5.161 5.757 5.757 68.90 63.05 63.05
Fractional positions:
Tm (0.000, 0.000, 0.000)
Ag (0.810, 0.443, 0.443)
Ag (0.190, 0.557, 0.557)
Ga (0.664, 0.610, 0.010)
Ga (0.336, 0.390, 0.990)
Ga (0.664, 0.010, 0.611)
Ga (0.336, 0.990, 0.389)


Record 4
## Tm6Ga2Ag (PBE-GGA)

Data for crystalline Tm6Ga2Ag at its relaxed geometry.

Lattice parameters (Å, degrees): 4.862 6.971 8.543 114.08 106.57 90.00
Fractional positions:
Tm (0.167, 0.416, 0.335)
Tm (0.833, 0.081, 0.665)
Tm (0.833, 0.584, 0.665)
Tm (0.500, 0.251, 0.000)
Tm (0.167, 0.919, 0.335)
Tm (0.500, 0.749, 0.000)
Ga (0.667, 0.667, 0.334)
Ga (0.333, 0.333, 0.666)
Ag (0.000, 0.000, 0.000)

## Properties
- Excess energy over the best structure of this formula in the dataset: 198 meV per atom


Record 5
## TmGa2Ag (PBE-GGA)

Data for crystalline TmGa2Ag at its relaxed geometry.

Lattice parameters (Å, degrees): 4.402 4.402 5.420 66.04 66.04 60.00
Fractional positions:
Tm (0.000, 0.000, 0.000)
Ga (0.776, 0.776, 0.673)
Ga (0.224, 0.224, 0.327)
Ag (0.500, 0.500, 0.500)


Record 6
## TmGa3Ag (PBE-GGA)

Data for crystalline TmGa3Ag at its relaxed geometry.

Lattice parameters (Å, degrees): 4.053 4.145 12.279 99.72 90.00 90.00
Fractional positions:
Tm (0.500, 0.824, 0.649)
Tm (0.500, 0.176, 0.351)
Ga (0.000, 0.052, 0.105)
Ga (0.000, 0.948, 0.895)
Ga (0.000, 0.276, 0.553)
Ga (0.000, 0.724, 0.447)
Ga (0.500, 0.449, 0.897)
Ga (0.500, 0.551, 0.103)
Ag (0.000, 0.620, 0.240)
Ag (0.000, 0.380, 0.760)


no.,calculated formation energy (eV per atom)
1,-0.36
2,-0.25
3,-0.20
4,-0.16
5,-0.37
6,-0.29